Entry from Alexandria: a geometry-optimized Ce2NiBr structure (GGA-PBE).

Geometry as CIF:
```
data_Ce2NiBr
_cell_length_a 4.0506
_cell_length_b 4.0506
_cell_length_c 22.4915
_cell_angle_alpha 90.00
_cell_angle_beta 90.00
_cell_angle_gamma 120.00
_space_group_name_H-M_alt 'P 1'
_space_group_IT_number 1
loop_
_space_group_symop_operation_xyz
'x,y,z'
loop_
_atom_site_label
_atom_site_type_symbol
_atom_site_fract_x
_atom_site_fract_y
_atom_site_fract_z
Ce1 Ce 0.0000 0.0000 0.2322
Ce2 Ce 0.0000 0.0000 0.7678
Ce3 Ce 0.3333 0.6667 0.4345
Ce4 Ce 0.3333 0.6667 0.8988
Ce5 Ce 0.6667 0.3333 0.1012
Ce6 Ce 0.6667 0.3333 0.5655
Ni1 Ni 0.0000 0.0000 0.5000
Ni2 Ni 0.3333 0.6667 0.1667
Ni3 Ni 0.6667 0.3333 0.8333
Br1 Br 0.0000 0.0000 0.0000
Br2 Br 0.3333 0.6667 0.6667
Br3 Br 0.6667 0.3333 0.3333
```

Total magnetic moment in μB per cell: 6.67
Formation energy without anion corrections in eV/atom: -0.691

---

Entry from Alexandria: a geometry-optimized Ba2CaAl structure (GGA-PBE).

Geometry as CIF:
```
data_Ba2CaAl
_cell_length_a 10.2781
_cell_length_b 10.2781
_cell_length_c 7.0630
_cell_angle_alpha 90.00
_cell_angle_beta 90.00
_cell_angle_gamma 90.00
_space_group_name_H-M_alt 'P 1'
_space_group_IT_number 1
loop_
_space_group_symop_operation_xyz
'x,y,z'
loop_
_atom_site_label
_atom_site_type_symbol
_atom_site_fract_x
_atom_site_fract_y
_atom_site_fract_z
Ba1 Ba 0.1861 0.2500 0.1250
Ba2 Ba 0.2500 0.6861 0.3750
Ba3 Ba 0.2500 0.8139 0.8750
Ba4 Ba 0.3139 0.2500 0.6250
Ba5 Ba 0.6861 0.7500 0.6250
Ba6 Ba 0.7500 0.1861 0.8750
Ba7 Ba 0.7500 0.3139 0.3750
Ba8 Ba 0.8139 0.7500 0.1250
Ca1 Ca 0.0000 0.0000 0.5000
Ca2 Ca 0.0000 0.5000 0.7500
Ca3 Ca 0.5000 0.0000 0.2500
Ca4 Ca 0.5000 0.5000 0.0000
Al1 Al 0.0000 0.0000 0.0000
Al2 Al 0.0000 0.5000 0.2500
Al3 Al 0.5000 0.0000 0.7500
Al4 Al 0.5000 0.5000 0.5000
```

Formation energy in eV per atom: 0.215
Total magnetic moment in μB per cell: 0.00